Entry 1:
{
  "formula": "Ba2HgSe",
  "functional": "GGA-PBEsol",
  "state": "relaxed",
  "e_tot_ev_per_cell": -13.2,
  "space_group": "R-3m (166)",
  "e_form_raw_mev_per_atom": -1130,
  "lattice_angstrom": [[-0.185, -2.941, 3.501], [3.858, -1.784, 1.696], [1.807, 4.823, 7.137]],
  "species": ["Hg", "Se", "Ba", "Ba"],
  "fractional_positions": [[0.500, 0.500, 0.500], [0.000, 0.000, 0.000], [0.258, 0.258, 0.227], [0.742, 0.742, 0.773]]
}

Entry 2:
{
  "formula": "RePAuS2",
  "functional": "GGA-PBEsol",
  "state": "relaxed",
  "e_tot_ev_per_cell": -28.7,
  "space_group": "P4/mmm (123)",
  "e_form_raw_mev_per_atom": 624,
  "lattice_angstrom": [[-2.048, 3.185, 2.357], [-3.142, -2.922, 1.219], [2.616, -1.192, 3.884]],
  "species": ["S", "S", "Re", "Au", "P"],
  "fractional_positions": [[0.000, 0.500, 0.000], [0.500, 0.000, 0.000], [0.000, 0.000, 0.000], [0.500, 0.500, 0.500], [0.000, 0.000, 0.500]]
}

Entry 3:
{
  "formula": "MgAlIn2",
  "functional": "GGA-PBEsol",
  "state": "relaxed",
  "delta_e_f_ev_per_atom": 0.02,
  "e_tot_ev_per_cell": -11.7,
  "space_group": "I-4m2 (119)",
  "lattice_angstrom": [[4.361, 0.000, 0.000], [0.000, 4.361, 0.000], [-2.180, -2.180, 4.590]],
  "species": ["In", "In", "Mg", "Al"],
  "fractional_positions": [[0.000, 0.000, 0.000], [0.750, 0.250, 0.500], [0.500, 0.500, 0.000], [0.250, 0.750, 0.500]]
}

Entry 4:
{
  "formula": "Er2Ni2Sn",
  "functional": "GGA-PBEsol",
  "state": "relaxed",
  "delta_e_f_ev_per_atom": -0.64,
  "e_tot_ev_per_cell": -59.3,
  "space_group": "P4/mbm (127)",
  "lattice_angstrom": [[3.581, 0.000, 0.000], [0.000, 7.185, 0.000], [0.000, 0.000, 7.185]],
  "species": ["Ni", "Ni", "Ni", "Ni", "Sn", "Sn", "Er", "Er", "Er", "Er"],
  "fractional_positions": [[0.000, 0.621, 0.121], [0.000, 0.379, 0.879], [0.000, 0.121, 0.379], [0.000, 0.879, 0.621], [0.000, 0.500, 0.500], [0.000, 0.000, 0.000], [0.500, 0.174, 0.674], [0.500, 0.326, 0.174], [0.500, 0.826, 0.326], [0.500, 0.674, 0.826]]
}

Entry 5:
{
  "formula": "PPt2Se",
  "functional": "GGA-PBEsol",
  "state": "relaxed",
  "e_tot_ev_per_cell": -24.0,
  "space_group": "Pmmm (47)",
  "e_form_raw_mev_per_atom": -108,
  "lattice_angstrom": [[2.697, 0.000, 0.000], [0.000, 3.526, 0.000], [0.000, 0.000, 7.005]],
  "species": ["Se", "P", "Pt", "Pt"],
  "fractional_positions": [[0.000, 0.500, 0.500], [0.000, 0.500, 0.000], [0.000, 0.000, 0.225], [0.000, 0.000, 0.775]]
}

Entry 6:
{
  "formula": "Cs3TlSb",
  "functional": "GGA-PBEsol",
  "state": "relaxed",
  "e_tot_ev_per_cell": -8.5,
  "space_group": "Pm-3m (221)",
  "e_form_raw_mev_per_atom": 300,
  "lattice_angstrom": [[6.802, 0.000, 0.000], [0.000, 6.802, 0.000], [0.000, 0.000, 6.802]],
  "species": ["Sb", "Cs", "Cs", "Cs", "Tl"],
  "fractional_positions": [[0.500, 0.500, 0.500], [0.500, 0.000, 0.000], [0.000, 0.000, 0.500], [0.000, 0.500, 0.000], [0.000, 0.000, 0.000]]
}

Entry 7:
{
  "formula": "ScReAu2",
  "functional": "GGA-PBEsol",
  "state": "relaxed",
  "delta_e_f_ev_per_atom": -0.01,
  "e_tot_ev_per_cell": -27.8,
  "space_group": "I4/mmm (139)",
  "lattice_angstrom": [[4.031, 0.000, 0.000], [0.000, 4.030, 0.000], [-2.015, -2.015, 4.079]],
  "species": ["Au", "Au", "Sc", "Re"],
  "fractional_positions": [[0.250, 0.250, 0.500], [0.750, 0.750, 0.500], [0.000, 0.500, 0.000], [0.500, 0.000, 0.000]]
}

Entry 8:
{
  "formula": "TmSnPt2",
  "functional": "GGA-PBEsol",
  "state": "relaxed",
  "delta_e_f_ev_per_atom": -1.03,
  "e_tot_ev_per_cell": -54.4,
  "space_group": "P6_3/mmc (194)",
  "lattice_angstrom": [[-3.631, 1.756, 1.956], [3.300, -1.698, 2.514], [3.935, 7.928, 0.190]],
  "species": ["Pt", "Pt", "Pt", "Pt", "Tm", "Tm", "Sn", "Sn"],
  "fractional_positions": [[0.667, 0.333, 0.411], [0.667, 0.333, 0.089], [0.333, 0.667, 0.589], [0.333, 0.667, 0.911], [0.667, 0.333, 0.750], [0.333, 0.667, 0.250], [0.000, 0.000, 0.500], [0.000, 0.000, 0.000]]
}

Entry 9:
{
  "formula": "Cd2BiO",
  "functional": "GGA-PBEsol",
  "state": "relaxed",
  "e_tot_ev_per_cell": -26.3,
  "space_group": "I-42d (122)",
  "e_form_raw_mev_per_atom": -308,
  "lattice_angstrom": [[-1.588, 5.579, -2.167], [2.101, -3.966, -4.267], [-4.690, -3.380, 2.218]],
  "species": ["Cd", "Cd", "Cd", "Cd", "Bi", "Bi", "O", "O"],
  "fractional_positions": [[0.902, 0.527, 0.125], [0.098, 0.223, 0.625], [0.598, 0.375, 0.473], [0.402, 0.875, 0.777], [0.000, 0.000, 0.000], [0.500, 0.750, 0.250], [0.500, 0.250, 0.750], [0.000, 0.500, 0.500]]
}

Entry 10:
{
  "formula": "Ti2Al2CrCuS8",
  "functional": "GGA-PBEsol",
  "state": "relaxed",
  "e_tot_ev_per_cell": -89.5,
  "space_group": "Cm (8)",
  "e_form_raw_mev_per_atom": -1073,
  "lattice_angstrom": [[-0.303, -5.143, 4.553], [-0.655, -6.485, -2.178], [5.524, -4.391, 0.600]],
  "species": ["Ti", "Ti", "S", "S", "S", "S", "S", "S", "S", "S", "Al", "Al", "Cr", "Cu"],
  "fractional_positions": [[0.493, 0.475, 0.993], [0.038, 0.475, 0.993], [0.735, 0.252, 0.744], [0.736, 0.754, 0.237], [0.744, 0.266, 0.245], [0.250, 0.250, 0.251], [0.255, 0.735, 0.754], [0.269, 0.252, 0.744], [0.274, 0.754, 0.237], [0.732, 0.750, 0.785], [0.869, 0.865, 0.396], [0.497, 0.506, 0.500], [0.481, 0.042, 0.997], [0.127, 0.124, 0.623]]
}

Entry 11:
{
  "formula": "IrSe5",
  "functional": "GGA-PBEsol",
  "state": "relaxed",
  "e_tot_ev_per_cell": -23.6,
  "space_group": "P6/mmm (191)",
  "e_form_raw_mev_per_atom": 919,
  "lattice_angstrom": [[-2.855, -3.585, 1.630], [3.557, 1.749, 2.819], [-4.484, 4.791, 2.684]],
  "species": ["Se", "Se", "Se", "Se", "Se", "Ir"],
  "fractional_positions": [[0.333, 0.667, 0.000], [0.500, 0.500, 0.500], [0.667, 0.333, 0.000], [0.500, 0.000, 0.500], [0.000, 0.500, 0.500], [0.000, 0.000, 0.000]]
}

Entry 12:
{
  "formula": "BaAs",
  "functional": "GGA-PBEsol",
  "state": "relaxed",
  "delta_e_f_ev_per_atom": -0.78,
  "e_tot_ev_per_cell": -17.6,
  "space_group": "Cmcm (63)",
  "lattice_angstrom": [[3.421, 0.000, 0.000], [0.000, 5.794, 0.000], [-1.711, 0.000, 6.267]],
  "species": ["As", "As", "Ba", "Ba"],
  "fractional_positions": [[0.880, 0.750, 0.760], [0.120, 0.250, 0.240], [0.618, 0.750, 0.236], [0.382, 0.250, 0.764]]
}